[1]
# PBE LaCuC, relaxed
# N(E_F): 0.000 states/eV per atom
# DFT formation energy: 0.12 eV per atom
# mass density: 7.0 Mg/m³
data_LaCuC
_space_group_name_H-M_alt 'C m c 21'
_space_group_IT_number 36
_space_group_name_Hall 'C 2c -2'
_cell_length_a 5.424
_cell_length_b 6.262
_cell_length_c 5.972
_cell_angle_alpha 90.00
_cell_angle_beta 90.00
_cell_angle_gamma 90.00
loop_
_atom_site_label
_atom_site_type_symbol
_atom_site_fract_x
_atom_site_fract_y
_atom_site_fract_z
La1 La 0.000 0.113 0.000
Cu1 Cu 0.000 0.456 0.314
C1 C 0.000 0.301 0.607

***

[2]
# PBE LaCuC, relaxed
# N(E_F): 0.274 states/eV per atom
# DFT formation energy: 0.05 eV per atom
# mass density: 6.8 Mg/m³
data_LaCuC
_space_group_name_H-M_alt 'P 1 21/m 1'
_space_group_IT_number 11
_space_group_name_Hall '-P 2yb'
_cell_length_a 3.716
_cell_length_b 5.378
_cell_length_c 5.558
_cell_angle_alpha 90.00
_cell_angle_beta 109.32
_cell_angle_gamma 90.00
loop_
_atom_site_label
_atom_site_type_symbol
_atom_site_fract_x
_atom_site_fract_y
_atom_site_fract_z
La1 La 0.138 0.250 0.275
Cu1 Cu 0.408 0.250 0.814
C1 C 0.142 0.750 0.285

***

[3]
# PBE La2CuC, relaxed
# N(E_F): 0.740 states/eV per atom
# DFT formation energy: 0.01 eV per atom
# mass density: 6.3 Mg/m³
data_La2CuC
_space_group_name_H-M_alt 'R -3 m'
_space_group_IT_number 166
_space_group_name_Hall '-R 3 2"'
_cell_length_a 3.8070
_cell_length_b 3.8070
_cell_length_c 22.4219
_cell_angle_alpha 90.00
_cell_angle_beta 90.00
_cell_angle_gamma 120.00
loop_
_atom_site_label
_atom_site_type_symbol
_atom_site_fract_x
_atom_site_fract_y
_atom_site_fract_z
La1 La 0.0000 0.0000 0.2323
Cu1 Cu 0.0000 0.0000 0.0000
C1 C 0.0000 0.0000 0.5000